Here is a relaxed structure of HgS6I2 from Alexandria via LeMat-Bulk. Energies are from GGA-PBE.

The density of states at the Fermi level is 0.000 states/eV/atom. For the energy, the calculation gives -3.161 eV/atom. Its density is 2.9 g/cm3. The magnetization comes out at 0.0 μB/f.u.

Lattice parameters (Å, degrees): 5.5348 5.5421 12.7150 80.32 80.15 81.38
With the nearest neighbours (Å) after each atom.
Space group P-1 (No. 2)
Inequivalent atoms, fractional coordinates:
Hg 0.0000 0.0000 0.0000 [1 per cell]  2 I 2.62
S 0.2438 0.6956 0.5829 [2 per cell]  2 S 2.07
S 0.3072 0.7551 0.4160 [2 per cell]  2 S 2.07
S 0.4035 0.4016 0.3766 [2 per cell]  2 S 2.07
I 0.2089 0.2097 0.1252 [2 per cell]  1 Hg 2.62

***

Here is a relaxed structure of HgSI from Alexandria via LeMat-Bulk. Energies are from GGA-PBE.

The calculation puts the energy above the most stable polymorph in this dataset at 0.0065 eV/atom. For the energy, the calculation gives -2.124 eV/atom. Its density is 5.5 g/cm3. The magnetization comes out at 0.0 μB/f.u.

Lattice parameters (Å, degrees): 4.9519 7.0741 7.0927 62.90 80.84 80.66
With the nearest neighbours (Å) after each atom.
Space group P-1 (No. 2)
Inequivalent atoms, fractional coordinates:
Hg 0.0052 0.2355 0.2527 [2 per cell]  2 S 2.63-2.66, 2 I 2.87-2.91
S 0.3910 0.9308 0.4386 [2 per cell]  1 S 2.07
I 0.1492 0.6533 0.1607 [2 per cell]  2 Hg 2.87-2.91

***

Here is a relaxed structure of HgSI from Alexandria via LeMat-Bulk. Energies are from GGA-PBE.

The calculation puts the energy above the most stable polymorph in this dataset at 0.1620 eV/atom. For the energy, the calculation gives -1.968 eV/atom. Its density is 4.9 g/cm3. The magnetization comes out at 1.0 μB/f.u.

Lattice parameters (Å, degrees): 4.6411 4.6549 11.3669 85.74 85.95 89.86
With the nearest neighbours (Å) after each atom.
Space group P-1 (No. 2)
Inequivalent atoms, fractional coordinates:
Hg 0.1727 0.1737 0.4301 [2 per cell]  1 Hg 2.64, 1 I 2.72
S 0.0903 0.0906 0.0601 [2 per cell]  1 S 1.90
I 0.4581 0.4590 0.7024 [2 per cell]  1 Hg 2.72

***

Here is a relaxed structure of HgSbSI2 from Alexandria via LeMat-Bulk. Energies are from GGA-PBE.

The calculation puts the energy above the most stable polymorph in this dataset at 0.4529 eV/atom. The density of states at the Fermi level is 1.475 states/eV/atom. For the energy, the calculation gives -1.489 eV/atom. Its density is 5.4 g/cm3. The magnetization comes out at 0.0 μB/f.u.

Lattice parameters (Å, degrees): 5.6644 5.6644 5.8288 90.00 90.00 90.00
With the nearest neighbours (Å) after each atom.
Space group P4/mmm (No. 123)
Inequivalent atoms, fractional coordinates:
Hg 0.0000 0.0000 0.0000 [1 per cell]  4 I 2.83, 2 Sb 2.91
Sb 0.0000 0.0000 0.5000 [1 per cell]  2 Hg 2.91
S 0.5000 0.5000 0.5000 [1 per cell]  4 Sb 4.01, 8 I 4.06
I 0.0000 0.5000 0.0000 [2 per cell]  2 Hg 2.83